# 1
SmCu2GePd4 | PBE | relaxed

SG: R-3m
Energy of formation (eV/atom): -0.44

POSCAR file:
```
SmCu2GePd4
1.0
2.240 1.293 7.535
-2.240 1.293 7.535
0.000 -2.586 7.535
Sm Cu Ge Pd
1 2 1 4
Direct
0.000 0.000 0.000
0.254 0.254 0.254
0.746 0.746 0.746
0.500 0.500 0.500
0.133 0.133 0.133
0.393 0.393 0.393
0.607 0.607 0.607
0.867 0.867 0.867
```

---

# 2
TaNi3Rh | PBE | relaxed

SG: Pm-3m
Energy of formation (eV/atom): 1.37

POSCAR file:
```
TaNi3Rh
1.0
4.387 0.000 0.000
0.000 4.387 0.000
0.000 0.000 4.387
Ta Ni Rh
1 3 1
Direct
0.000 0.000 0.000
0.000 0.500 0.500
0.500 0.000 0.500
0.500 0.500 0.000
0.500 0.500 0.500
```

---

# 3
Th2Te2N | PBE | relaxed

Raw formation energy (eV/atom): -1.39
SG: Cmc2_1

POSCAR file:
```
Th2Te2N
1.0
2.072 -7.852 0.000
2.072 7.852 0.000
0.000 0.000 9.120
Th Te N
4 4 2
Direct
0.040 0.960 0.500
0.349 0.651 0.413
0.651 0.349 0.913
0.960 0.040 0.000
0.296 0.704 0.067
0.453 0.547 0.726
0.547 0.453 0.226
0.704 0.296 0.567
0.093 0.907 0.919
0.907 0.093 0.419
```

---

# 4
SrHg6Bi2 | PBE | relaxed

SG: P-3m1
Energy of formation (eV/atom): -0.17

POSCAR file:
```
SrHg6Bi2
1.0
5.179 0.000 0.000
-2.589 4.485 0.000
0.000 0.000 11.515
Sr Hg Bi
1 6 2
Direct
0.000 0.000 0.000
0.000 0.000 0.346
0.000 0.000 0.654
0.333 0.667 0.551
0.333 0.667 0.867
0.667 0.333 0.133
0.667 0.333 0.449
0.333 0.667 0.198
0.667 0.333 0.802
```

---

# 5
ScPtPb2 | PBE | relaxed

SG: R-3m
Energy of formation (eV/atom): -0.22

POSCAR file:
```
ScPtPb2
1.0
2.306 1.331 5.013
-2.306 1.331 5.013
0.000 -2.662 5.013
Sc Pt Pb
1 1 2
Direct
0.000 0.000 0.000
0.500 0.500 0.500
0.239 0.239 0.239
0.761 0.761 0.761
```

---

# 6
Pr4Sm2Er2Tm | PBE | relaxed

SG: C2/m
Energy of formation (eV/atom): 0.03

POSCAR file:
```
Pr4Sm2Er2Tm
1.0
7.713 -2.569 0.000
7.713 2.569 0.000
-2.578 0.000 7.651
Pr Sm Er Tm
4 2 2 1
Direct
0.054 0.054 0.330
0.278 0.278 0.670
0.722 0.722 0.330
0.946 0.946 0.670
0.388 0.388 0.329
0.612 0.612 0.671
0.167 0.167 0.000
0.833 0.833 0.000
0.500 0.500 0.000
```

---

# 7
LaCr2Ag | PBE | relaxed

SG: R-3m
Energy of formation (eV/atom): 0.81

POSCAR file:
```
LaCr2Ag
1.0
1.601 0.924 9.782
-1.601 0.924 9.782
0.000 -1.848 9.782
La Cr Ag
1 2 1
Direct
0.000 0.000 0.000
0.242 0.242 0.242
0.758 0.758 0.758
0.500 0.500 0.500
```

---

# 8
TiAuO3 | PBE | relaxed

Raw formation energy (eV/atom): -1.34
SG: Pm-3m

POSCAR file:
```
TiAuO3
1.0
3.875 0.000 0.000
0.000 3.875 0.000
0.000 0.000 3.875
Ti Au O
1 1 3
Direct
0.000 0.000 0.000
0.500 0.500 0.500
0.000 0.000 0.500
0.000 0.500 0.000
0.500 0.000 0.000
```